1.
The following is a SCAN calculation of a PBEsol-optimized structure of SbOs2, from Alexandria via LeMat-Bulk.

```
6
Lattice="4.8842 -1.4164 0.0000 4.8842 1.4164 0.0000 -1.8600 0.0000 8.3891" Properties=species:S:1:pos:R:3 pbc="T T T"
Sb 1.2566 0.0000 1.2344
Sb 6.6517 0.0000 7.1547
Os 0.6510 0.0000 4.9641
Os 3.3464 0.0000 5.4004
Os 4.5620 0.0000 2.9887
Os 7.2573 0.0000 3.4250
```

Summary:
**Total magnetic moment**: 0.00 μB/atom
**Density of states at the Fermi level**: 2.2 states/eV/f.u.
**Calculated volume**: 19.345 Å³ per atom


2.
The following is a SCAN calculation of a PBEsol-optimized structure of BaTe3Rh, from Alexandria via LeMat-Bulk.

```
5
Lattice="5.2786 0.0000 0.0000 0.0000 5.2786 0.0000 0.0000 0.0000 5.2786" Properties=species:S:1:pos:R:3 pbc="T T T"
Ba 0.0000 0.0000 0.0000
Te 0.0000 2.6393 2.6393
Te 2.6393 0.0000 2.6393
Te 2.6393 2.6393 0.0000
Rh 2.6393 2.6393 2.6393
```

Summary:
**Polymorph energy (0 for the lowest one)**: 0 meV/atom
**Total magnetic moment**: 0.00 μB/atom
**Density of states at the Fermi level**: 4.4 states/eV/f.u.
**Calculated volume**: 29.416 Å³ per atom


3.
The following is a SCAN calculation of a PBEsol-optimized structure of LaYBr2, from Alexandria via LeMat-Bulk.

```
4
Lattice="0.0000 3.6355 3.6355 3.6355 0.0000 3.6355 3.6355 3.6355 0.0000" Properties=species:S:1:pos:R:3 pbc="T T T"
La 0.0000 0.0000 0.0000
Y 3.6355 3.6355 3.6355
Br 1.8177 1.8177 1.8177
Br 5.4532 5.4532 5.4532
```

Summary:
**Polymorph energy (0 for the lowest one)**: 212 meV/atom
**Total magnetic moment**: 0.00 μB/atom
**Density of states at the Fermi level**: 1.4 states/eV/f.u.
**Calculated volume**: 24.024 Å³ per atom


no.,E_form (uncorrected) (eV per atom)
1,0.44
2,-0.71
3,-1.07